# 1
{"formula": "CdGa2Bi2", "functional": "PBE", "state": "relaxed", "lattice": [[-2.249, 2.249, 7.031], [2.249, -2.249, 7.031], [2.249, 2.249, -7.031]], "species": ["Cd", "Ga", "Ga", "Bi", "Bi"], "frac_coords": [[0.000, 0.000, 0.000], [0.250, 0.750, 0.500], [0.750, 0.250, 0.500], [0.382, 0.382, 0.000], [0.618, 0.618, 0.000]]}

***

# 2
{"formula": "CdGeBi2", "functional": "PBE", "state": "relaxed", "lattice": [[0.000, 3.795, 3.795], [3.795, 0.000, 3.795], [3.795, 3.795, 0.000]], "species": ["Cd", "Ge", "Bi", "Bi"], "frac_coords": [[0.000, 0.000, 0.000], [0.750, 0.750, 0.750], [0.250, 0.250, 0.250], [0.500, 0.500, 0.500]]}

***

# 3
{"formula": "CdGe2Bi", "functional": "PBE", "state": "relaxed", "lattice": [[0.000, 3.623, 3.623], [3.623, 0.000, 3.623], [3.623, 3.623, 0.000]], "species": ["Cd", "Ge", "Ge", "Bi"], "frac_coords": [[0.000, 0.000, 0.000], [0.250, 0.250, 0.250], [0.500, 0.500, 0.500], [0.750, 0.750, 0.750]]}

***

# 4
{"formula": "Hf2CdBi", "functional": "PBE", "state": "relaxed", "lattice": [[0.000, 3.647, 3.647], [3.647, 0.000, 3.647], [3.647, 3.647, 0.000]], "species": ["Hf", "Hf", "Cd", "Bi"], "frac_coords": [[0.000, 0.000, 0.000], [0.250, 0.250, 0.250], [0.750, 0.750, 0.750], [0.500, 0.500, 0.500]], "total_magnetization_mub_per_fu": 2.26}

***

# 5
{"formula": "HfCdBi2", "functional": "PBE", "state": "relaxed", "lattice": [[0.000, 3.759, 3.759], [3.759, 0.000, 3.759], [3.759, 3.759, 0.000]], "species": ["Hf", "Cd", "Bi", "Bi"], "frac_coords": [[0.000, 0.000, 0.000], [0.750, 0.750, 0.750], [0.250, 0.250, 0.250], [0.500, 0.500, 0.500]], "total_magnetization_mub_per_fu": 0.00}

***

# 6
{"formula": "HfCdBi", "functional": "PBE", "state": "relaxed", "lattice": [[0.000, 3.510, 3.510], [3.510, 0.000, 3.510], [3.510, 3.510, 0.000]], "species": ["Hf", "Cd", "Bi"], "frac_coords": [[0.000, 0.000, 0.000], [0.500, 0.500, 0.500], [0.750, 0.750, 0.750]], "total_magnetization_mub_per_fu": 0.64}

***

# 7
{"formula": "CdHgBi2", "functional": "PBE", "state": "relaxed", "lattice": [[0.000, 3.861, 3.861], [3.861, 0.000, 3.861], [3.861, 3.861, 0.000]], "species": ["Cd", "Hg", "Bi", "Bi"], "frac_coords": [[0.000, 0.000, 0.000], [0.250, 0.250, 0.250], [0.500, 0.500, 0.500], [0.750, 0.750, 0.750]]}

***

# 8
{"formula": "CdNiHgBi", "functional": "PBE", "state": "relaxed", "lattice": [[0.000, 3.525, 3.525], [3.525, 0.000, 3.525], [3.525, 3.525, 0.000]], "species": ["Cd", "Ni", "Hg", "Bi"], "frac_coords": [[0.000, 0.000, 0.000], [0.750, 0.750, 0.750], [0.250, 0.250, 0.250], [0.500, 0.500, 0.500]], "total_magnetization_mub_per_fu": 0.01}

***

# 9
{"formula": "Cd2BiIO6", "functional": "PBE", "state": "relaxed", "lattice": [[0.000, 4.211, 4.211], [4.211, 0.000, 4.211], [4.211, 4.211, 0.000]], "species": ["Cd", "Cd", "Bi", "I", "O", "O", "O", "O", "O", "O"], "frac_coords": [[0.250, 0.250, 0.250], [0.750, 0.750, 0.750], [0.000, 0.000, 0.000], [0.500, 0.500, 0.500], [0.264, 0.264, 0.736], [0.264, 0.736, 0.264], [0.264, 0.736, 0.736], [0.736, 0.264, 0.264], [0.736, 0.264, 0.736], [0.736, 0.736, 0.264]]}

***

# 10
{"formula": "CdBiS2IO11", "functional": "PBE", "state": "relaxed", "lattice": [[12.796, 0.000, 0.000], [0.000, 6.804, 0.000], [-2.279, 0.000, 9.648]], "species": ["Cd", "Cd", "Cd", "Cd", "Bi", "Bi", "Bi", "Bi", "S", "S", "S", "S", "S", "S", "S", "S", "I", "I", "I", "I", "O", "O", "O", "O", "O", "O", "O", "O", "O", "O", "O", "O", "O", "O", "O", "O", "O", "O", "O", "O", "O", "O", "O", "O", "O", "O", "O", "O", "O", "O", "O", "O", "O", "O", "O", "O", "O", "O", "O", "O", "O", "O", "O", "O"], "frac_coords": [[0.062, 0.210, 0.110], [0.062, 0.290, 0.610], [0.938, 0.710, 0.390], [0.938, 0.790, 0.890], [0.310, 0.727, 0.494], [0.310, 0.773, 0.994], [0.690, 0.227, 0.006], [0.690, 0.273, 0.506], [0.117, 0.715, 0.187], [0.117, 0.785, 0.687], [0.245, 0.237, 0.927], [0.245, 0.263, 0.427], [0.755, 0.737, 0.573], [0.755, 0.763, 0.073], [0.883, 0.215, 0.313], [0.883, 0.285, 0.813], [0.474, 0.171, 0.722], [0.474, 0.329, 0.222], [0.526, 0.671, 0.778], [0.526, 0.829, 0.278], [0.041, 0.634, 0.610], [0.041, 0.866, 0.110], [0.097, 0.531, 0.107], [0.097, 0.969, 0.607], [0.101, 0.696, 0.331], [0.101, 0.804, 0.831], [0.154, 0.173, 0.329], [0.154, 0.327, 0.829], [0.208, 0.114, 0.032], [0.208, 0.386, 0.532], [0.231, 0.723, 0.702], [0.231, 0.777, 0.202], [0.309, 0.100, 0.859], [0.309, 0.400, 0.359], [0.315, 0.102, 0.499], [0.315, 0.398, 0.999], [0.428, 0.529, 0.639], [0.428, 0.971, 0.139], [0.429, 0.615, 0.176], [0.429, 0.885, 0.676], [0.455, 0.676, 0.915], [0.455, 0.824, 0.415], [0.545, 0.176, 0.585], [0.545, 0.324, 0.085], [0.571, 0.115, 0.324], [0.571, 0.385, 0.824], [0.572, 0.029, 0.861], [0.572, 0.471, 0.361], [0.685, 0.602, 0.001], [0.685, 0.898, 0.501], [0.691, 0.600, 0.641], [0.691, 0.900, 0.141], [0.769, 0.223, 0.798], [0.769, 0.277, 0.298], [0.792, 0.614, 0.468], [0.792, 0.886, 0.968], [0.846, 0.673, 0.171], [0.846, 0.827, 0.671], [0.899, 0.196, 0.169], [0.899, 0.304, 0.669], [0.903, 0.031, 0.393], [0.903, 0.469, 0.893], [0.959, 0.134, 0.890], [0.959, 0.366, 0.390]]}

***

# 11
{"formula": "CdBi6S8I4", "functional": "PBE", "state": "relaxed", "lattice": [[8.574, 0.000, 0.000], [-4.216, 8.072, 0.000], [-2.019, -1.266, 8.897]], "species": ["Cd", "Bi", "Bi", "Bi", "Bi", "Bi", "Bi", "S", "S", "S", "S", "S", "S", "S", "S", "I", "I", "I", "I"], "frac_coords": [[0.000, 0.000, 0.000], [0.214, 0.816, 0.326], [0.232, 0.182, 0.667], [0.236, 0.493, 0.960], [0.764, 0.507, 0.040], [0.768, 0.818, 0.333], [0.786, 0.184, 0.674], [0.092, 0.744, 0.023], [0.099, 0.047, 0.315], [0.117, 0.414, 0.651], [0.332, 0.250, 0.968], [0.668, 0.750, 0.032], [0.883, 0.586, 0.349], [0.901, 0.953, 0.685], [0.908, 0.256, 0.977], [0.341, 0.521, 0.317], [0.377, 0.902, 0.704], [0.623, 0.098, 0.296], [0.659, 0.479, 0.683]]}

***

# 12
{"formula": "CdInBi", "functional": "PBE", "state": "relaxed", "lattice": [[0.000, 3.594, 3.594], [3.594, 0.000, 3.594], [3.594, 3.594, 0.000]], "species": ["Cd", "In", "Bi"], "frac_coords": [[0.000, 0.000, 0.000], [0.250, 0.250, 0.250], [0.750, 0.750, 0.750]]}

***

# 13
{"formula": "CdIn2Bi", "functional": "PBE", "state": "relaxed", "lattice": [[0.000, 3.837, 3.837], [3.837, 0.000, 3.837], [3.837, 3.837, 0.000]], "species": ["Cd", "In", "In", "Bi"], "frac_coords": [[0.000, 0.000, 0.000], [0.500, 0.500, 0.500], [0.750, 0.750, 0.750], [0.250, 0.250, 0.250]]}

***

# 14
{"formula": "Cd2BiIr", "functional": "PBE", "state": "relaxed", "lattice": [[0.000, 3.474, 3.474], [3.474, 0.000, 3.474], [3.474, 3.474, 0.000]], "species": ["Cd", "Cd", "Bi", "Ir"], "frac_coords": [[0.000, 0.000, 0.000], [0.250, 0.250, 0.250], [0.500, 0.500, 0.500], [0.750, 0.750, 0.750]], "total_magnetization_mub_per_fu": 0.00}

***

# 15
{"formula": "CdBiIr2", "functional": "PBE", "state": "relaxed", "lattice": [[0.000, 3.353, 3.353], [3.353, 0.000, 3.353], [3.353, 3.353, 0.000]], "species": ["Cd", "Bi", "Ir", "Ir"], "frac_coords": [[0.000, 0.000, 0.000], [0.750, 0.750, 0.750], [0.250, 0.250, 0.250], [0.500, 0.500, 0.500]], "total_magnetization_mub_per_fu": 0.00}

***

# 16
{"formula": "MgCdBiIr", "functional": "PBE", "state": "relaxed", "lattice": [[0.000, 3.424, 3.424], [3.424, 0.000, 3.424], [3.424, 3.424, 0.000]], "species": ["Mg", "Cd", "Bi", "Ir"], "frac_coords": [[0.000, 0.000, 0.000], [0.750, 0.750, 0.750], [0.250, 0.250, 0.250], [0.500, 0.500, 0.500]], "relative_energy_mev_per_atom": 0, "total_magnetization_mub_per_fu": 0.01}

***

# 17
{"formula": "KCdBi", "functional": "PBE", "state": "relaxed", "lattice": [[4.293, 0.000, 0.000], [0.000, 4.293, 0.000], [0.000, 0.000, 6.414]], "species": ["K", "Cd", "Bi"], "frac_coords": [[0.000, 0.000, 0.000], [0.000, 0.000, 0.500], [0.500, 0.500, 0.500]]}

***

# 18
{"formula": "KRbCd2Bi2", "functional": "PBE", "state": "relaxed", "lattice": [[4.968, 0.000, 0.000], [0.000, 4.968, 0.000], [0.000, 0.000, 8.593]], "species": ["K", "Rb", "Cd", "Cd", "Bi", "Bi"], "frac_coords": [[0.000, 0.000, 0.000], [0.500, 0.500, 0.317], [0.000, 0.500, 0.664], [0.500, 0.000, 0.664], [0.000, 0.000, 0.453], [0.500, 0.500, 0.875]]}

***

# 19
{"formula": "K2SrCdBiSb", "functional": "PBE", "state": "relaxed", "lattice": [[5.041, 0.000, 0.000], [0.000, 10.115, 0.000], [0.000, 0.000, 8.355]], "species": ["K", "K", "K", "K", "Sr", "Sr", "Cd", "Cd", "Bi", "Bi", "Sb", "Sb"], "frac_coords": [[0.000, 0.083, 0.000], [0.000, 0.917, 0.500], [0.500, 0.168, 0.687], [0.500, 0.832, 0.187], [0.500, 0.455, 0.034], [0.500, 0.545, 0.534], [0.000, 0.328, 0.381], [0.000, 0.672, 0.881], [0.500, 0.182, 0.278], [0.500, 0.818, 0.778], [0.000, 0.393, 0.749], [0.000, 0.607, 0.249]], "relative_energy_mev_per_atom": 0}

***

# 20
{"formula": "K2SrCdBiSb", "functional": "PBE", "state": "relaxed", "lattice": [[5.023, 0.000, 0.000], [0.000, 10.044, 0.000], [0.000, 0.000, 8.406]], "species": ["K", "K", "K", "K", "Sr", "Sr", "Cd", "Cd", "Bi", "Bi", "Sb", "Sb"], "frac_coords": [[0.000, 0.082, 0.000], [0.000, 0.918, 0.500], [0.500, 0.160, 0.675], [0.500, 0.840, 0.175], [0.500, 0.453, 0.031], [0.500, 0.547, 0.531], [0.000, 0.320, 0.371], [0.000, 0.680, 0.871], [0.000, 0.389, 0.744], [0.000, 0.611, 0.244], [0.500, 0.183, 0.272], [0.500, 0.817, 0.772]], "relative_energy_mev_per_atom": 8}

***

So what do the calculations give for theoretical density? Going down the list: 7.8, 9.2, 8.1, 11.6, 11.1, 9.6, 10.5, 11.0, 7.3, 5.4, 5.7, 7.8, 8.1, 12.4, 15.5, 11.1, 5.1, 6.0, 4.7, 4.8 Mg/m³.
So what do the calculations give for E_tot? Going down the list: -14.432, -12.695, -13.036, -23.103, -17.588, -13.087, -8.957, -9.459, -41.226, -349.090, -72.319, -7.563, -10.259, -13.348, -20.439, -14.834, -6.250, -13.938, -33.017, -32.926 eV per cell.